AlTeAs2Br: relaxed, PBE.

Results
E above lowest polymorph   0.000 eV/atom
ΔE_f (raw)   0.277 eV/atom
Fermi-level density of states   3.8 states/eV per cell

Lattice parameters (Å, degrees): 5.0676 5.0676 4.7748 90.00 90.00 90.00
Sites, in units of the cell vectors:
Al (0.0000, 0.0000, 0.0000)
Te (0.5000, 0.5000, 0.5000)
As (0.0000, 0.5000, 0.0000)
As (0.5000, 0.0000, 0.0000)
Br (0.0000, 0.0000, 0.5000)